DFT (PBE) results for an optimized crystal structure of MgOs2Rh.

Cell lengths 3.9435, 3.9435, 7.5237 Å; angles 90.00, 90.00, 90.00 degrees
Closest atoms and distances in Å follow each position.
Space group I-4m2 (No. 119)
Inequivalent atoms, fractional coordinates:
1 Mg 0.0000 0.0000 0.0000 (multiplicity 2)  8 Os 2.73-2.79, 4 Rh 2.73
2 Os 0.0000 0.0000 0.5000 (multiplicity 2)  4 Rh 2.73, 4 Os 2.73, 4 Mg 2.79
3 Os 0.0000 0.5000 0.7500 (multiplicity 2)  4 Mg 2.73, 4 Os 2.73, 4 Rh 2.79
4 Rh 0.0000 0.5000 0.2500 (multiplicity 2)  8 Os 2.73-2.79, 4 Mg 2.73

Computed properties:
**DOS at the Fermi energy**: 10.1 states/eV/cell
**Energy of formation**: 0.7 eV per formula unit



DFT (PBE) results for an optimized crystal structure of Mg2OsRh.

Cell lengths 5.6276, 8.6600, 2.7429 Å; angles 90.00, 112.66, 90.00 degrees
Closest atoms and distances in Å follow each position.
Space group C2/m (No. 12)
Inequivalent atoms, fractional coordinates:
1 Mg 0.2500 0.2500 0.0000 (multiplicity 4)  2 Rh 2.66, 2 Os 2.66, 4 Mg 2.74-2.81
2 Os 0.0000 0.0000 0.5000 (multiplicity 2)  4 Mg 2.66, 2 Os 2.74, 2 Rh 2.81
3 Rh 0.0000 0.5000 0.5000 (multiplicity 2)  4 Mg 2.66, 2 Rh 2.74, 2 Os 2.81

Computed properties:
**Distance to the lowest polymorph of the same formula**: 0.110 eV per atom
**DOS at the Fermi energy**: 4.5 states/eV/cell
**Energy of formation**: 0.1 eV per formula unit



DFT (PBE) results for an optimized crystal structure of MgOs2Rh.

Cell lengths 9.1087, 2.7456, 4.8208 Å; angles 90.00, 100.36, 90.00 degrees
Closest atoms and distances in Å follow each position.
Space group Cm (No. 8)
Inequivalent atoms, fractional coordinates:
1 Mg 0.0000 0.0000 0.0000 (multiplicity 2)  3 Rh 2.55-2.69, 4 Os 2.74-2.81, 2 Mg 2.75
2 Os 0.2344 0.0000 0.6725 (multiplicity 2)  5 Os 2.60-2.75, 4 Rh 2.78, 1 Mg 2.87
3 Os 0.4898 0.0000 0.5054 (multiplicity 2)  5 Os 2.60-2.75, 4 Mg 2.74-2.81, 2 Rh 2.79
4 Rh 0.2534 0.5000 0.1788 (multiplicity 2)  3 Mg 2.55-2.69, 2 Rh 2.75, 6 Os 2.78-2.79

Computed properties:
**DOS at the Fermi energy**: 7.0 states/eV/cell
**Energy of formation**: 0.3 eV per formula unit



DFT (PBE) results for an optimized crystal structure of MgOs2Rh.

Cell lengths 7.6121, 7.6121, 4.8198 Å; angles 90.00, 90.00, 90.00 degrees
Closest atoms and distances in Å follow each position.
Space group I-42d (No. 122)
Inequivalent atoms, fractional coordinates:
1 Mg 0.0000 0.0000 0.0000 (multiplicity 4)  2 Rh 2.41
2 Os 0.1941 0.7500 0.6250 (multiplicity 8)  2 Rh 2.48, 2 Os 2.56
3 Rh 0.0000 0.0000 0.5000 (multiplicity 4)  2 Mg 2.41, 4 Os 2.48

Computed properties:
**DOS at the Fermi energy**: 25.5 states/eV/cell
**Energy of formation**: 3.0 eV per formula unit



DFT (PBE) results for an optimized crystal structure of MgOs2Rh.

Cell lengths 5.2002, 8.3429, 2.7195 Å; angles 90.00, 90.00, 90.00 degrees
Closest atoms and distances in Å follow each position.
Space group Cmmm (No. 65)
Inequivalent atoms, fractional coordinates:
1 Mg 0.0000 0.0000 0.0000 (multiplicity 2)  2 Rh 2.60, 2 Mg 2.72, 8 Os 2.81
2 Os 0.2500 0.2500 0.5000 (multiplicity 4)  4 Os 2.60-2.72, 4 Mg 2.81, 4 Rh 2.81
3 Rh 0.0000 0.5000 0.0000 (multiplicity 2)  2 Mg 2.60, 2 Rh 2.72, 8 Os 2.81

Computed properties:
**DOS at the Fermi energy**: 8.8 states/eV/cell
**Energy of formation**: 0.9 eV per formula unit



DFT (PBE) results for an optimized crystal structure of MgOs2Rh.

Cell lengths 2.7098, 2.7098, 8.1306 Å; angles 90.00, 90.00, 90.00 degrees
Closest atoms and distances in Å follow each position.
Space group P4/mmm (No. 123)
Inequivalent atoms, fractional coordinates:
1 Mg 0.0000 0.0000 0.0000 (multiplicity 1)  4 Mg 2.71, 8 Os 2.87
2 Os 0.5000 0.5000 0.2633 (multiplicity 2)  4 Os 2.71, 4 Rh 2.72, 4 Mg 2.87
3 Rh 0.0000 0.0000 0.5000 (multiplicity 1)  4 Rh 2.71, 8 Os 2.72

Computed properties:
**DOS at the Fermi energy**: 2.5 states/eV/cell
**Energy of formation**: 0.9 eV per formula unit



DFT (PBE) results for an optimized crystal structure of MgOs2Rh.

Cell lengths 6.1802, 6.1802, 6.1802 Å; angles 90.00, 90.00, 90.00 degrees
Closest atoms and distances in Å follow each position.
Space group F-43m (No. 216)
Inequivalent atoms, fractional coordinates:
1 Mg 0.0000 0.0000 0.0000 (multiplicity 4)  4 Os 2.68, 4 Rh 2.68
2 Os 0.0000 0.0000 0.5000 (multiplicity 4)  4 Os 2.68, 4 Rh 2.68
3 Os 0.2500 0.2500 0.2500 (multiplicity 4)  4 Os 2.68, 4 Mg 2.68
4 Rh 0.2500 0.2500 0.7500 (multiplicity 4)  4 Os 2.68, 4 Mg 2.68

Computed properties:
**DOS at the Fermi energy**: 14.3 states/eV/cell
**Energy of formation**: 1.0 eV per formula unit



DFT (PBE) results for an optimized crystal structure of Mg2OsRh.

Cell lengths 2.8418, 4.6534, 4.6849 Å; angles 90.00, 90.00, 90.00 degrees
Closest atoms and distances in Å follow each position.
Space group Pmm2 (No. 25)
Inequivalent atoms, fractional coordinates:
1 Mg 0.0000 0.0000 0.0000 (multiplicity 1)  4 Rh 2.70-2.78, 6 Mg 2.83-2.84, 2 Os 2.84
2 Mg 0.5000 0.5000 0.1598 (multiplicity 1)  4 Os 2.72-2.76, 6 Mg 2.83-2.84, 2 Rh 2.85
3 Os 0.0000 0.5000 0.6537 (multiplicity 1)  6 Mg 2.72-2.84, 4 Rh 2.81, 2 Os 2.84
4 Rh 0.5000 0.0000 0.5103 (multiplicity 1)  6 Mg 2.70-2.85, 4 Os 2.81, 2 Rh 2.84

Computed properties:
**Distance to the lowest polymorph of the same formula**: 0.121 eV per atom
**DOS at the Fermi energy**: 2.7 states/eV/cell
**Energy of formation**: 0.1 eV per formula unit



> The highest energy of formation belongs to which entry?

number 4



> Which value of energy of formation does entry 3 give?

0.3 eV per formula unit